Material: Tb5HoRh6
Method: DFT, PBE-GGA
State: relaxed

The value obtained for the density is 10.756 g/cm³. Its density of states at the Fermi level is 0.60 states/eV per atom. As for the energy of formation: -854 meV per atom. The total magnetization comes out at 0.00 μB/f.u.

It has space group Cmmm (No. 65), with a = 4.8557 Å, b = 14.5797 Å, c = 6.8776 Å, α = 90.00°, β = 90.00° and γ = 90.00°. The asymmetric unit holds Tb at (0.0000, 0.0000, 0.0000), Tb at (0.0000, 0.3334, 0.0000), Tb at (0.0000, 0.3336, 0.5000), Ho at (0.0000, 0.0000, 0.5000), Rh at (0.0000, 0.1661, 0.2506) and Rh at (0.0000, 0.5000, 0.2516).